Here is crystalline BaAlVO6 at its relaxed geometry from the Alexandria database. Energies are from GGA+U.

total magnetic moment = 0.1 Bohr magnetons per cell
space-group type = C2 (5)
DOS(E_F) = 0.000 states/eV per cell
final energy = -6.87 eV per atom

Unit cell a=5.398 b=5.398 c=5.374 alpha=90.56 beta=90.56 gamma=122.91
Sites, in units of the cell vectors:
1 Ba 0.000 0.000 0.000
2 Al 0.701 0.299 0.500
3 V 0.307 0.693 0.500
4 O 0.004 0.597 0.296
5 O 0.016 0.399 0.703
6 O 0.403 0.996 0.704
7 O 0.434 0.417 0.376
8 O 0.583 0.566 0.624
9 O 0.601 0.984 0.297